Record 1
# PBE Nd3Dy2Ho6Mg, optimized geometry
data_Nd3Dy2Ho6Mg
_chemical_formula_sum 'Nd6 Dy4 Ho12 Mg2'
_cell_length_a 6.151
_cell_length_b 10.666
_cell_length_c 11.725
_cell_angle_alpha 90.00
_cell_angle_beta 100.15
_cell_angle_gamma 90.00
_space_group_name_H-M_alt 'C 1 2/m 1'
_space_group_IT_number 12
_space_group_name_Hall '-C 2y'
loop_
_atom_site_label
_atom_site_fract_x
_atom_site_fract_y
_atom_site_fract_z
_atom_site_occupancy
Nd1 0.000 0.000 0.000 1
Nd2 0.000 0.334 0.000 1
Dy1 0.000 0.166 0.500 1
Ho1 0.247 0.334 0.745 1
Ho2 0.248 0.000 0.746 1
Mg1 0.000 0.500 0.500 1
# Energy (eV/cell): -104.34
# ΔE_f (eV per atom): 0.033
# Size of the total moment (Bohr magnetons per cell): 0.0

---

Record 2
# PBE SrSc2Ni, optimized geometry
data_SrSc2Ni
_chemical_formula_sum 'Sr2 Sc4 Ni2'
_cell_length_a 4.270
_cell_length_b 4.270
_cell_length_c 10.667
_cell_angle_alpha 90.00
_cell_angle_beta 90.00
_cell_angle_gamma 90.00
_space_group_name_H-M_alt 'I 4/m m m'
_space_group_IT_number 139
_space_group_name_Hall '-I 4 2'
loop_
_atom_site_label
_atom_site_fract_x
_atom_site_fract_y
_atom_site_fract_z
_atom_site_occupancy
Sr1 0.000 0.000 0.000 1
Sc1 0.000 0.500 0.250 1
Ni1 0.000 0.000 0.500 1
# Energy (eV/cell): -37.19
# ΔE_f (eV per atom): 0.383
# Size of the total moment (Bohr magnetons per cell): 3.0
# ΔE to the lowest computed polymorph (meV per atom): 425.4

---

Record 3
# PBE PmHI, optimized geometry
data_PmHI
_chemical_formula_sum 'Pm1 H1 I1'
_cell_length_a 3.9619
_cell_length_b 3.9619
_cell_length_c 5.1103
_cell_angle_alpha 90.00
_cell_angle_beta 90.00
_cell_angle_gamma 120.00
_space_group_name_H-M_alt 'P 3 m 1'
_space_group_IT_number 156
_space_group_name_Hall 'P 3 -2"'
loop_
_atom_site_label
_atom_site_fract_x
_atom_site_fract_y
_atom_site_fract_z
_atom_site_occupancy
Pm1 0.0000 0.0000 0.0000 1
H1 0.6667 0.3333 0.0639 1
I1 0.3333 0.6667 0.5559 1
# Energy (eV/cell): -11.95
# Size of the total moment (Bohr magnetons per cell): 0.0
# ΔE to the lowest computed polymorph (meV per atom): 271.0

---

Record 4
# PBE Zn3PtSe, optimized geometry
data_Zn3PtSe
_chemical_formula_sum 'Zn3 Pt1 Se1'
_cell_length_a 4.777
_cell_length_b 4.777
_cell_length_c 4.777
_cell_angle_alpha 90.00
_cell_angle_beta 90.00
_cell_angle_gamma 90.00
_space_group_name_H-M_alt 'P m -3 m'
_space_group_IT_number 221
_space_group_name_Hall '-P 4 2 3'
loop_
_atom_site_label
_atom_site_fract_x
_atom_site_fract_y
_atom_site_fract_z
_atom_site_occupancy
Zn1 0.000 0.000 0.500 1
Pt1 0.500 0.500 0.500 1
Se1 0.000 0.000 0.000 1
# Energy (eV/cell): -10.10
# Size of the total moment (Bohr magnetons per cell): 0.0
# ΔE to the lowest computed polymorph (meV per atom): 580.4
# E_form (uncorrected) (eV per formula unit): 3.25

---

Record 5
# PBE Li2CeNdS4, optimized geometry
data_Li2CeNdS4
_chemical_formula_sum 'Li2 Ce1 Nd1 S4'
_cell_length_a 6.619
_cell_length_b 4.061
_cell_length_c 7.026
_cell_angle_alpha 90.00
_cell_angle_beta 110.67
_cell_angle_gamma 90.00
_space_group_name_H-M_alt 'P 1 2/m 1'
_space_group_IT_number 10
_space_group_name_Hall '-P 2y'
loop_
_atom_site_label
_atom_site_fract_x
_atom_site_fract_y
_atom_site_fract_z
_atom_site_occupancy
Li1 0.000 0.000 0.000 1
Li2 0.000 0.500 0.500 1
Ce1 0.500 0.000 0.500 1
Nd1 0.500 0.500 0.000 1
S1 0.243 0.000 0.746 1
S2 0.244 0.500 0.249 1
# Energy (eV/cell): -45.02
# Size of the total moment (Bohr magnetons per cell): 1.0
# E_form (uncorrected) (eV per formula unit): -13.98

---

Record 6
# PBE Pm5DyHg3, optimized geometry
data_Pm5DyHg3
_chemical_formula_sum 'Pm10 Dy2 Hg6'
_cell_length_a 9.3035
_cell_length_b 9.3035
_cell_length_c 7.0196
_cell_angle_alpha 90.00
_cell_angle_beta 90.00
_cell_angle_gamma 120.00
_space_group_name_H-M_alt 'P 63/m c m'
_space_group_IT_number 193
_space_group_name_Hall '-P 6c 2'
loop_
_atom_site_label
_atom_site_fract_x
_atom_site_fract_y
_atom_site_fract_z
_atom_site_occupancy
Pm1 0.0000 0.3352 0.2500 1
Pm2 0.3333 0.6667 0.0000 1
Dy1 0.0000 0.0000 0.0000 1
Hg1 0.0000 0.3283 0.7500 1
# Energy (eV/cell): -63.74
# ΔE_f (eV per atom): -0.290
# Size of the total moment (Bohr magnetons per cell): 0.0

---

Q: Look up the size of the total moment of the fifth one.
A: 1.0 Bohr magnetons per cell